1.
This record from Alexandria via LeMat-Bulk describes an optimized crystal structure of K2BaH2. The functional is GGA-PBE.

Cell and atoms, written as POSCAR:
```
K2BaH2
1.0
-1.1492 -4.6368 -1.4398
4.7936 -1.3187 0.4206
0.7555 -4.7566 6.0704
H K Ba
2 2 1
Cartesian
3.6856 -4.5265 2.9907
0.7142 -6.1856 2.0605
2.9704 -7.0794 3.1380
1.4294 -3.6327 1.9131
0.0000 0.0000 0.0000
```

Results
**E**: -2.10 eV per atom



2.
This record from Alexandria via LeMat-Bulk describes an optimized crystal structure of LaCoTc. The functional is GGA-PBE.

Cell and atoms, written as POSCAR:
```
LaCoTc
1.0
4.4712 0.0000 0.0000
2.2356 3.8721 0.0000
2.2356 1.2907 3.6507
La Tc Co
1 1 1
Cartesian
0.0000 0.0000 0.0000
4.4712 2.5814 1.8253
6.7067 3.8721 2.7380
```

Results
**Formation energy from the elements**: 0.5650 eV per atom
**Relative energy among the computed polymorphs**: 500 meV/atom



3.
This record from Alexandria via LeMat-Bulk describes an optimized crystal structure of UZnTeO6. The functional is GGA-PBE.

Cell and atoms, written as POSCAR:
```
UZnTeO6
1.0
-3.7272 2.3618 3.5057
-0.9828 -5.1285 -2.1196
4.2204 -3.6912 6.9740
O U Zn Te
12 2 2 2
Cartesian
-0.7469 0.2740 2.0963
-3.4609 0.1415 3.6686
-0.9359 0.1509 4.8879
0.4463 -6.6088 3.4721
-2.7685 -2.3873 4.6535
-0.0554 -2.2594 3.0793
-0.4342 -4.1985 5.2807
-2.5762 -2.2663 1.8587
2.2789 -4.0706 3.7065
0.2573 -6.7319 6.2638
2.0865 -4.1916 6.5013
2.9713 -6.5994 4.6915
1.2677 -5.4001 4.9860
-1.7573 -1.0578 3.3741
0.0000 0.0000 0.0000
2.1102 -1.8456 3.4870
0.3529 -2.9034 6.8611
-0.8425 -3.5545 1.4990
```

Results
**Raw formation energy**: -1.84 eV per atom



4.
This record from Alexandria via LeMat-Bulk describes an optimized crystal structure of Pm3Y3In. The functional is GGA-PBE.

Cell and atoms, written as POSCAR:
```
Pm3Y3In
1.0
5.6451 0.0000 0.0000
0.0000 9.5104 -0.0054
0.0000 -4.7526 8.2392
Y Pm In
6 6 2
Cartesian
4.2338 3.3111 6.7669
4.2338 -0.5469 1.9857
4.2338 -2.7595 7.7214
1.4113 1.4467 1.4669
1.4113 5.3047 6.2481
1.4113 7.5172 0.5125
4.2338 2.7875 3.0715
1.4113 -1.2684 3.9477
1.4113 1.9702 5.1624
4.2338 5.4579 0.8733
1.4113 -0.7001 7.3606
4.2338 6.0262 4.2862
1.4113 4.7572 2.7430
4.2338 0.0006 5.4909
```

Results
**Formation energy from the elements**: -0.1117 eV per atom



5.
This record from Alexandria via LeMat-Bulk describes an optimized crystal structure of BaCdPb2Au2. The functional is GGA-PBE.

Cell and atoms, written as POSCAR:
```
BaCdPb2Au2
1.0
5.7375 0.0000 0.0000
0.0000 5.7375 0.0000
-2.8687 -2.8687 6.1229
Au Pb Ba Cd
2 2 1 1
Cartesian
2.8687 2.8687 3.4424
0.0000 0.0000 2.6805
2.8687 0.0000 3.0615
0.0000 2.8687 3.0615
2.8687 2.8687 0.0000
0.0000 0.0000 0.0000
```

Results
**Formation energy from the elements**: -0.1628 eV per atom



6.
This record from Alexandria via LeMat-Bulk describes an optimized crystal structure of Er6Bi2Pt. The functional is GGA-PBE.

Cell and atoms, written as POSCAR:
```
Er6Bi2Pt
1.0
6.4389 0.0000 0.1369
0.0000 7.9149 0.0000
-0.5629 0.0000 10.2555
Bi Er Pt
4 12 2
Cartesian
3.4525 7.0060 7.7115
2.4235 0.9089 2.6809
0.5145 4.8664 2.5153
5.3615 3.0485 7.8770
3.9588 3.7636 2.7037
3.7764 1.5499 5.6135
3.5411 1.3627 9.9145
2.3349 6.5522 0.4778
2.0996 6.3650 4.7789
1.9172 4.1513 7.6886
0.8384 2.4076 0.4173
5.4181 7.7211 2.6293
0.6031 2.5947 4.7183
0.4579 0.1938 7.7630
5.0377 5.5073 9.9750
5.2730 5.3202 5.6740
-0.2814 0.0000 5.1277
3.2195 3.9575 0.0684
```

Results
**Formation energy from the elements**: -0.5958 eV per atom



7.
This record from Alexandria via LeMat-Bulk describes an optimized crystal structure of MgGa4Ni2. The functional is GGA-PBE.

Cell and atoms, written as POSCAR:
```
MgGa4Ni2
1.0
-0.7074 1.1211 3.6837
-6.6276 -2.2553 -0.5864
4.3664 -14.1708 5.1512
Mg Ga Ni
4 16 8
Cartesian
-3.7499 -10.3909 5.5627
-3.7822 -2.5736 3.1775
0.7813 -4.9141 2.6858
0.8135 -12.7314 5.0711
-1.5359 -6.9727 2.8672
-5.2447 -4.4167 1.3771
-4.3288 -7.7969 4.6621
-1.2092 -10.8718 4.1166
-0.3935 -14.2861 7.3928
-1.7594 -4.4332 4.1319
-1.4327 -8.3324 5.3813
-6.8077 -2.3331 2.5232
3.8391 -12.9719 5.7253
-4.3770 -5.3479 3.9076
-1.7204 -12.2722 6.5250
1.3602 -7.5081 3.5864
2.2761 -10.8883 6.8714
1.4084 -9.9571 4.3410
-2.5751 -1.0189 0.8557
-1.2482 -3.0328 1.7235
-0.0712 -10.3512 6.2571
2.0291 -13.2297 7.5365
-2.7152 -9.1269 3.2964
-0.2534 -6.1781 4.9521
-4.9978 -2.0753 0.7120
-0.1572 -2.5521 3.8671
-2.8114 -12.7529 4.3814
-2.8974 -4.9538 1.9914
```

Results
**Formation energy from the elements**: -0.2719 eV per atom